This record from the Alexandria database describes KErGeBr6 after structural relaxation. The functional is PBE-GGA.

Cell lengths 7.2885, 7.2885, 7.2811 Å; angles 90.00, 90.00, 120.00 degrees
Space group P312 (No. 149)
Symmetry-distinct sites (fractional):
K: 0.0000 0.0000 0.0000 (multiplicity 1)
Er: 0.6667 0.3333 0.5000 (multiplicity 1)
Ge: 0.3333 0.6667 0.5000 (multiplicity 1)
Br: 0.3716 0.0046 0.7205 (multiplicity 6)

Properties
The crystal system is trigonal. The calculation puts the raw formation energy at -1429.5 meV/atom. The value obtained for the volume is 37.22 Å³ per atom. The density comes out at 3760 kg/m³.

This record from the Alexandria database describes NaErGe2Br8 after structural relaxation. The functional is PBE-GGA.

Cell lengths 6.6020, 7.0142, 8.5242 Å; angles 88.48, 89.23, 87.82 degrees
Space group P-1 (No. 2)
Symmetry-distinct sites (fractional):
Na: 0.0000 0.0000 0.0000 (multiplicity 1)
Er: 0.0000 0.0000 0.5000 (multiplicity 1)
Ge: 0.4720 0.4713 0.2429 (multiplicity 2)
Br: 0.2268 0.8253 0.2637 (multiplicity 2)
Br: 0.2442 0.3212 0.4803 (multiplicity 2)
Br: 0.2498 0.8497 0.7386 (multiplicity 2)
Br: 0.2758 0.3476 0.0164 (multiplicity 2)

Properties
The crystal system is triclinic. The calculation puts the raw formation energy at -1130.6 meV/atom. The value obtained for the volume is 32.86 Å³ per atom. The density comes out at 4105 kg/m³.

This record from the Alexandria database describes ErTlGe2Br8 after structural relaxation. The functional is PBE-GGA.

Cell lengths 6.6290, 7.3083, 9.2856 Å; angles 85.77, 89.60, 85.65 degrees
Space group P-1 (No. 2)
Symmetry-distinct sites (fractional):
Er: 0.0000 0.0000 0.0000 (multiplicity 1)
Tl: 0.0000 0.0000 0.5000 (multiplicity 1)
Ge: 0.4568 0.4447 0.7624 (multiplicity 2)
Br: 0.2266 0.8219 0.7964 (multiplicity 2)
Br: 0.2291 0.3147 0.9695 (multiplicity 2)
Br: 0.2696 0.3596 0.5530 (multiplicity 2)
Br: 0.2698 0.8631 0.2215 (multiplicity 2)

Properties
The crystal system is triclinic. The calculation puts the raw formation energy at -1009.8 meV/atom. The value obtained for the volume is 37.28 Å³ per atom. The density comes out at 4292 kg/m³.

This record from the Alexandria database describes ErHBr after structural relaxation. The functional is PBE-GGA.

Cell lengths 5.5278, 6.7140, 6.8456 Å; angles 90.00, 109.58, 90.00 degrees
Space group P2_1/c (No. 14)
Symmetry-distinct sites (fractional):
Er: 0.1262 0.1440 0.2506 (multiplicity 4)
H: 0.0744 0.1072 0.9208 (multiplicity 4)
Br: 0.4278 0.7272 0.8595 (multiplicity 4)

Properties
The crystal system is monoclinic. Its total DFT energy (no corrections) is -0.304 Ry per atom. The value obtained for the volume is 19.95 Å³ per atom. The density comes out at 6886 kg/m³.

This record from the Alexandria database describes ErHBr3 after structural relaxation. The functional is PBE-GGA.

Cell lengths 7.6187, 7.4339, 13.0513 Å; angles 90.00, 107.25, 90.00 degrees
Space group P2/c (No. 13)
Symmetry-distinct sites (fractional):
Er: 0.9999 0.2500 0.0843 (multiplicity 4)
H: 0.0517 0.2363 0.7601 (multiplicity 4)
Br: 0.2386 0.0327 0.0173 (multiplicity 4)
Br: 0.2387 0.4670 0.5656 (multiplicity 4)
Br: 0.2452 0.2505 0.2924 (multiplicity 4)

Properties
The crystal system is monoclinic. Its total DFT energy (no corrections) is -0.298 Ry per atom. The value obtained for the volume is 35.30 Å³ per atom. The density comes out at 3839 kg/m³.

This record from the Alexandria database describes ErHBr after structural relaxation. The functional is PBE-GGA.

Cell lengths 3.6613, 3.7448, 10.0811 Å; angles 90.00, 90.00, 90.00 degrees
Space group Pmmn (No. 59, origin choice 2)
Symmetry-distinct sites (fractional):
Er: 0.2500 0.2500 0.1223 (multiplicity 2)
H: 0.2500 0.7500 0.0071 (multiplicity 2)
Br: 0.2500 0.7500 0.6716 (multiplicity 2)

Properties
The crystal system is orthorhombic. Its total DFT energy (no corrections) is -0.310 Ry per atom. The value obtained for the volume is 23.04 Å³ per atom. The density comes out at 5963 kg/m³.

This record from the Alexandria database describes ErH4Br4 after structural relaxation. The functional is PBE-GGA.

Cell lengths 9.9244, 9.9244, 3.8646 Å; angles 90.00, 90.00, 90.00 degrees
Space group I4/m (No. 87)
Symmetry-distinct sites (fractional):
Er: 0.0000 0.0000 0.0000 (multiplicity 2)
H: 0.0491 0.2266 0.0000 (multiplicity 8)
Br: 0.0510 0.2353 0.5000 (multiplicity 8)

Properties
The crystal system is tetragonal. Its total DFT energy (no corrections) is -0.215 Ry per atom. The value obtained for the volume is 21.15 Å³ per atom. The density comes out at 4283 kg/m³.

This record from the Alexandria database describes ErH2Br4 after structural relaxation. The functional is PBE-GGA.

Cell lengths 4.7891, 15.3192, 4.7889 Å; angles 90.00, 90.00, 90.00 degrees
Space group Cmmm (No. 65)
Symmetry-distinct sites (fractional):
Er: 0.0000 0.0000 0.0000 (multiplicity 2)
H: 0.0000 0.4756 0.5000 (multiplicity 4)
Br: 0.0000 0.1158 0.5000 (multiplicity 4)
Br: 0.0000 0.3840 0.0000 (multiplicity 4)

Properties
The crystal system is orthorhombic. Its total DFT energy (no corrections) is -0.250 Ry per atom. The value obtained for the volume is 25.10 Å³ per atom. The density comes out at 4621 kg/m³.

This record from the Alexandria database describes ErH2Br3 after structural relaxation. The functional is PBE-GGA.

Cell lengths 8.0896, 8.0896, 7.2194 Å; angles 90.00, 90.00, 120.00 degrees
Space group P6_3/mmc (No. 194)
Symmetry-distinct sites (fractional):
Er: 0.0000 0.0000 0.0000 (multiplicity 2)
H: 0.3333 0.6667 0.0393 (multiplicity 4)
Br: 0.1530 0.3060 0.7500 (multiplicity 6)

Properties
The crystal system is hexagonal. Its total DFT energy (no corrections) is -0.234 Ry per atom. The value obtained for the volume is 34.10 Å³ per atom. The density comes out at 3320 kg/m³.

This record from the Alexandria database describes ErH2Br after structural relaxation. The functional is PBE-GGA.

Cell lengths 3.6705, 3.6705, 14.5932 Å; angles 90.00, 90.00, 120.00 degrees
Space group R-3m (No. 166, hexagonal axes)
Symmetry-distinct sites (fractional):
Er: 0.0000 0.0000 0.0000 (multiplicity 3)
H: 0.0000 0.0000 0.3062 (multiplicity 6)
Br: 0.0000 0.0000 0.5000 (multiplicity 3)

Properties
The crystal system is trigonal. Its total DFT energy (no corrections) is -0.305 Ry per atom. The value obtained for the volume is 14.19 Å³ per atom. The density comes out at 7290 kg/m³.

This record from the Alexandria database describes K2ErHBr6 after structural relaxation. The functional is PBE-GGA.

Cell lengths 7.7095, 7.7469, 7.9428 Å; angles 107.57, 115.68, 104.07 degrees
Space group P-1 (No. 2)
Symmetry-distinct sites (fractional):
K: 0.1888 0.4987 0.3018 (multiplicity 2)
Er: 0.5000 0.0000 0.0000 (multiplicity 1)
H: 0.0000 0.0000 0.5000 (multiplicity 1)
Br: 0.0969 0.8531 0.6010 (multiplicity 2)
Br: 0.2626 0.8399 0.1392 (multiplicity 2)
Br: 0.4862 0.6328 0.8085 (multiplicity 2)

Properties
The crystal system is triclinic. Its total DFT energy (no corrections) is -0.256 Ry per atom. The value obtained for the volume is 36.70 Å³ per atom. The density comes out at 3285 kg/m³.

This record from the Alexandria database describes Rb2ErHBr6 after structural relaxation. The functional is PBE-GGA.

Cell lengths 7.1729, 8.0273, 8.0395 Å; angles 114.01, 109.31, 102.08 degrees
Space group P-1 (No. 2)
Symmetry-distinct sites (fractional):
Rb: 0.1766 0.4112 0.2230 (multiplicity 2)
Er: 0.0000 0.0000 0.5000 (multiplicity 1)
H: 0.5000 0.0000 0.0000 (multiplicity 1)
Br: 0.2153 0.8651 0.2866 (multiplicity 2)
Br: 0.2579 0.0079 0.8784 (multiplicity 2)
Br: 0.2594 0.3913 0.6603 (multiplicity 2)

Properties
The crystal system is triclinic. Its total DFT energy (no corrections) is -0.254 Ry per atom. The value obtained for the volume is 36.60 Å³ per atom. The density comes out at 3714 kg/m³.

Question: Among the records above, which one has the lowest density?
Answer: K2ErHBr6

Question: Look up the density of the seventh one.
Answer: 4283 kg/m³

Question: The lowest density belongs to which entry?
Answer: K2ErHBr6

Question: Which of these has the highest density?
Answer: ErH2Br